# 1
# Zr2Ta

An optimized crystal structure of Zr2Ta (PBE, Alexandria).

The space group is Cm (No. 8) and the conventional cell measures 11.028, 3.481 and 7.081 Å, with angles of 90.00, 108.60 and 90.00 degrees. Symmetry generates all atoms from Zr at (0.000, 0.000, 0.000), Zr at (0.005, 0.000, 0.529), Zr at (0.192, 0.500, 0.844), Zr at (0.333, 0.000, 0.201), Ta at (0.161, 0.500, 0.347) and Ta at (0.317, 0.000, 0.631).

The crystal system is monoclinic. Its total DFT energy (no corrections) is -9.54 eV/atom. The energy of formation comes out at 110 meV per atom.

=====

# 2
# TbPr2Cu2Si2

An optimized crystal structure of TbPr2Cu2Si2 (PBE, Alexandria).

The space group is R-3m (No. 166, hexagonal axes) and the conventional cell measures 4.1180, 4.1180 and 33.3627 Å, with angles of 90.00, 90.00 and 120.00 degrees. Symmetry generates all atoms from Tb at (0.0000, 0.0000, 0.0000), Pr at (0.0000, 0.0000, 0.1183), Cu at (0.0000, 0.0000, 0.3907) and Si at (0.0000, 0.0000, 0.2753).

The crystal system is trigonal. For the formation energy from raw total energies, the calculation gives -489.6 meV per atom. Its total DFT energy (no corrections) is -5.24 eV/atom.

=====

# 3
# DyTm2Tl6

An optimized crystal structure of DyTm2Tl6 (PBE, Alexandria).

The space group is C2/c (No. 15) and the conventional cell measures 13.925, 11.277 and 6.326 Å, with angles of 90.00, 92.47 and 90.00 degrees. Symmetry generates all atoms from Dy at (0.000, 0.120, 0.250), Tm at (0.167, 0.380, 0.416), Tl at (0.054, 0.368, 0.974), Tl at (0.112, 0.135, 0.697) and Tl at (0.223, 0.132, 0.140).

The crystal system is monoclinic. Its total DFT energy (no corrections) is -3.24 eV/atom. The energy of formation comes out at -160 meV per atom.

=====

The calculation returns the following total magnetization values, one per record and in order: 0.000, 2.180, 0.000 Bohr magnetons per cell.